PBE Lu2AgIr, relaxed; DFT formation energy = -675 meV per atom; SG = No. 123; energy above the lowest structure with this stoichiometry = 8 meV per atom; V = 84 Å³ per cell
1.0
-0.6165 -1.9414 -2.7388
-0.3673 -2.7289 2.0170
-7.0331 1.3889 0.5985
Ag Ir Lu
1 1 2
Cartesian
-4.0084 -1.6407 -0.0616
-0.4919 -2.3351 -0.3609
-1.5780 0.3116 0.1343
-5.4550 1.0773 0.4642

---

PBE Lu2AgIr, relaxed; DFT formation energy = -683 meV per atom; SG = No. 225; energy above the lowest structure with this stoichiometry = 0 meV per atom; V = 82 Å³ per cell
1.0
4.8694 0.0000 0.0000
2.4347 4.2170 0.0000
2.4347 1.4057 3.9759
Ir Ag Lu
1 1 2
Cartesian
0.0000 0.0000 0.0000
4.8694 2.8114 1.9879
2.4347 1.4057 0.9940
7.3041 4.2170 2.9819

---

PBE NdLuAgIr, relaxed; DFT formation energy = -529 meV per atom; SG = No. 216; V = 89 Å³ per cell
1.0
-2.3421 4.3678 0.7489
-2.0283 2.4524 -3.8725
-4.9837 0.2818 -0.4552
Ag Nd Lu Ir
1 1 1 1
Cartesian
-2.3385 1.7755 -0.8947
-4.6770 3.5510 -1.7894
0.0000 0.0000 0.0000
-7.0155 5.3265 -2.6841

---

PBE LuPaAgIr, relaxed; DFT formation energy = -359 meV per atom; SG = No. 216; V = 86 Å³ per cell
1.0
4.9539 0.0000 0.0000
2.4770 4.2902 0.0000
2.4770 1.4301 4.0449
Ag Lu Pa Ir
1 1 1 1
Cartesian
0.0000 0.0000 0.0000
2.4770 1.4301 1.0112
7.4309 4.2902 3.0336
4.9539 2.8601 2.0224

---

PBE PmLuAgIr, relaxed; DFT formation energy = -554 meV per atom; SG = No. 216; V = 88 Å³ per cell
1.0
4.9926 0.0000 0.0000
2.4963 4.3238 0.0000
2.4963 1.4413 4.0765
Ir Ag Lu Pm
1 1 1 1
Cartesian
7.4890 4.3238 3.0574
2.4963 1.4413 1.0191
4.9926 2.8825 2.0382
0.0000 0.0000 0.0000

---

PBE SmLuAgIr, relaxed; DFT formation energy = -570 meV per atom; SG = No. 216; V = 87 Å³ per cell
1.0
-3.2410 -2.1418 -3.1140
-0.4101 -4.9598 -0.1419
-4.0842 -2.2124 1.7924
Sm Lu Ir Ag
1 1 1 1
Cartesian
-3.8677 -4.6570 -0.7317
0.0000 0.0000 0.0000
-5.8015 -6.9855 -1.0976
-1.9338 -2.3285 -0.3659

---

PBE LuThAgIr, relaxed; DFT formation energy = -528 meV per atom; SG = No. 216; V = 91 Å³ per cell
1.0
5.0460 0.0000 0.0000
2.5230 4.3699 0.0000
2.5230 1.4566 4.1200
Ag Lu Ir Th
1 1 1 1
Cartesian
5.0460 2.9133 2.0600
2.5230 1.4566 1.0300
0.0000 0.0000 0.0000
7.5689 4.3699 3.0900

---

PBE TmLuAgIr, relaxed; DFT formation energy = -670 meV per atom; SG = No. 216; V = 83 Å³ per cell
1.0
-1.8425 -2.2691 3.9171
2.7799 -3.0973 2.5624
1.5312 1.2225 4.4775
Tm Ag Lu Ir
1 1 1 1
Cartesian
0.0000 0.0000 0.0000
1.8515 -3.1080 8.2178
1.2343 -2.0720 5.4785
0.6172 -1.0360 2.7393

---

The lowest V belongs to which entry?
number 2

---

What is the formula in the fifth record?
PmLuAgIr